Er2InGaFe4 | PBE-GGA | relaxed

```
8
Lattice="3.9680 0.0000 0.0000 0.0000 4.9674 0.0000 0.0000 0.0000 6.9865" Properties=species:S:1:pos:R:3 pbc="T T T"
Er 1.9840 0.0000 4.8918
Fe 0.0000 1.2429 6.9509
Fe 1.9840 0.0000 0.5807
Er 1.9840 2.4837 2.1321
Ga 0.0000 2.4837 4.6601
Fe 1.9840 2.4837 6.3251
In 0.0000 0.0000 2.4412
Fe 0.0000 3.7246 6.9509
```

Values from the calculation:
Magnetization ... 7.4 μB per cell
DFT total energy ... -6.29 eV per atom